# 1
Entry from Alexandria: a relaxed BP3Os crystal (PBE).

Summary:
For the volume, the calculation gives 19.4 Å³/atom. Its energy relative to the lowest polymorph listed for this composition is 566 meV per atom. As for the crystal system: cubic. For the energy of formation from the pure elements, the calculation gives 1.5547 eV per atom. The value obtained for the magnetization is 0.00 μB per formula unit.

Geometry as CIF:
```
data_BP3Os
_cell_length_a 4.591
_cell_length_b 4.591
_cell_length_c 4.591
_cell_angle_alpha 90.00
_cell_angle_beta 90.00
_cell_angle_gamma 90.00
_space_group_name_H-M_alt 'P m -3 m'
_space_group_IT_number 221
_space_group_name_Hall '-P 4 2 3'
loop_
_atom_site_label
_atom_site_type_symbol
_atom_site_fract_x
_atom_site_fract_y
_atom_site_fract_z
B1 B 0.000 0.000 0.000
P1 P 0.000 0.500 0.500
Os1 Os 0.500 0.500 0.500
```

=====

# 2
Entry from Alexandria: a relaxed BPOs3 crystal (PBE).

Summary:
For the volume, the calculation gives 13.6 Å³/atom. Its energy relative to the lowest polymorph listed for this composition is 0 meV per atom. As for the crystal system: cubic. For the energy of formation from the pure elements, the calculation gives 0.7601 eV per atom. The value obtained for the magnetization is 0.00 μB per formula unit.

Geometry as CIF:
```
data_BPOs3
_cell_length_a 4.085
_cell_length_b 4.085
_cell_length_c 4.085
_cell_angle_alpha 90.00
_cell_angle_beta 90.00
_cell_angle_gamma 90.00
_space_group_name_H-M_alt 'P m -3 m'
_space_group_IT_number 221
_space_group_name_Hall '-P 4 2 3'
loop_
_atom_site_label
_atom_site_type_symbol
_atom_site_fract_x
_atom_site_fract_y
_atom_site_fract_z
B1 B 0.000 0.000 0.000
P1 P 0.500 0.500 0.500
Os1 Os 0.000 0.000 0.500
```

=====

# 3
Entry from Alexandria: a relaxed BP2Os crystal (PBE).

Summary:
For the volume, the calculation gives 14.7 Å³/atom. As for the crystal system: tetragonal. For the energy of formation from the pure elements, the calculation gives 0.0305 eV per atom. The value obtained for the magnetization is 0.00 μB per formula unit.

Geometry as CIF:
```
data_BP2Os
_cell_length_a 5.051
_cell_length_b 5.051
_cell_length_c 9.209
_cell_angle_alpha 90.00
_cell_angle_beta 90.00
_cell_angle_gamma 90.00
_space_group_name_H-M_alt 'I -4 2 d'
_space_group_IT_number 122
_space_group_name_Hall 'I -4 2bw'
loop_
_atom_site_label
_atom_site_type_symbol
_atom_site_fract_x
_atom_site_fract_y
_atom_site_fract_z
B1 B 0.000 0.000 0.000
P1 P 0.200 0.250 0.125
Os1 Os 0.000 0.000 0.500
```

=====

# 4
Entry from Alexandria: a relaxed B2POs crystal (PBE).

Summary:
For the volume, the calculation gives 12.7 Å³/atom. As for the crystal system: tetragonal. For the energy of formation from the pure elements, the calculation gives 0.4037 eV per atom. The value obtained for the magnetization is 0.00 μB per formula unit.

Geometry as CIF:
```
data_B2POs
_cell_length_a 4.767
_cell_length_b 4.767
_cell_length_c 8.928
_cell_angle_alpha 90.00
_cell_angle_beta 90.00
_cell_angle_gamma 90.00
_space_group_name_H-M_alt 'I -4 2 d'
_space_group_IT_number 122
_space_group_name_Hall 'I -4 2bw'
loop_
_atom_site_label
_atom_site_type_symbol
_atom_site_fract_x
_atom_site_fract_y
_atom_site_fract_z
B1 B 0.233 0.250 0.125
P1 P 0.000 0.000 0.000
Os1 Os 0.000 0.000 0.500
```

=====

# 5
Entry from Alexandria: a relaxed BSbP2Os crystal (PBE).

Summary:
For the volume, the calculation gives 22.8 Å³/atom. The formation energy (no corrections) is 1.286 eV per atom. As for the crystal system: tetragonal. The value obtained for the magnetization is 0.00 μB per formula unit.

Geometry as CIF:
```
data_BSbP2Os
_cell_length_a 4.390
_cell_length_b 4.390
_cell_length_c 5.908
_cell_angle_alpha 90.00
_cell_angle_beta 90.00
_cell_angle_gamma 90.00
_space_group_name_H-M_alt 'P 4/m m m'
_space_group_IT_number 123
_space_group_name_Hall '-P 4 2'
loop_
_atom_site_label
_atom_site_type_symbol
_atom_site_fract_x
_atom_site_fract_y
_atom_site_fract_z
B1 B 0.000 0.000 0.000
Sb1 Sb 0.500 0.500 0.000
P1 P 0.000 0.500 0.500
Os1 Os 0.500 0.500 0.500
```

=====

# 6
Entry from Alexandria: a relaxed SnBP2Os crystal (PBE).

Summary:
For the volume, the calculation gives 15.1 Å³/atom. As for the crystal system: tetragonal. For the energy of formation from the pure elements, the calculation gives 1.1353 eV per atom. The value obtained for the magnetization is 0.00 μB per formula unit.

Geometry as CIF:
```
data_SnBP2Os
_cell_length_a 4.008
_cell_length_b 4.008
_cell_length_c 4.693
_cell_angle_alpha 90.00
_cell_angle_beta 90.00
_cell_angle_gamma 90.00
_space_group_name_H-M_alt 'P 4/m m m'
_space_group_IT_number 123
_space_group_name_Hall '-P 4 2'
loop_
_atom_site_label
_atom_site_type_symbol
_atom_site_fract_x
_atom_site_fract_y
_atom_site_fract_z
Sn1 Sn 0.000 0.000 0.000
B1 B 0.000 0.000 0.500
P1 P 0.000 0.500 0.500
Os1 Os 0.500 0.500 0.000
```

=====

# 7
Entry from Alexandria: a relaxed Sn2BPOs crystal (PBE).

Summary:
For the volume, the calculation gives 21.5 Å³/atom. As for the crystal system: tetragonal. For the energy of formation from the pure elements, the calculation gives 0.6633 eV per atom. The value obtained for the magnetization is 0.00 μB per formula unit.

Geometry as CIF:
```
data_Sn2BPOs
_cell_length_a 5.192
_cell_length_b 5.192
_cell_length_c 3.996
_cell_angle_alpha 90.00
_cell_angle_beta 90.00
_cell_angle_gamma 90.00
_space_group_name_H-M_alt 'P 4/m m m'
_space_group_IT_number 123
_space_group_name_Hall '-P 4 2'
loop_
_atom_site_label
_atom_site_type_symbol
_atom_site_fract_x
_atom_site_fract_y
_atom_site_fract_z
Sn1 Sn 0.000 0.500 0.000
B1 B 0.000 0.000 0.500
P1 P 0.500 0.500 0.500
Os1 Os 0.000 0.000 0.000
```

=====

# 8
Entry from Alexandria: a relaxed BTePOs2 crystal (PBE).

Summary:
For the volume, the calculation gives 20.1 Å³/atom. Its energy relative to the lowest polymorph listed for this composition is 1412 meV per atom. The formation energy (no corrections) is 2.586 eV per atom. As for the crystal system: tetragonal. The value obtained for the magnetization is 0.40 μB per formula unit.

Geometry as CIF:
```
data_BTePOs2
_cell_length_a 4.916
_cell_length_b 4.916
_cell_length_c 4.151
_cell_angle_alpha 90.00
_cell_angle_beta 90.00
_cell_angle_gamma 90.00
_space_group_name_H-M_alt 'P 4/m m m'
_space_group_IT_number 123
_space_group_name_Hall '-P 4 2'
loop_
_atom_site_label
_atom_site_type_symbol
_atom_site_fract_x
_atom_site_fract_y
_atom_site_fract_z
B1 B 0.000 0.000 0.000
Te1 Te 0.000 0.000 0.500
P1 P 0.500 0.500 0.000
Os1 Os 0.000 0.500 0.500
```